No. 1
The following is a DFT calculation (PBE) of crystalline Ta2In2NiS6 at its relaxed geometry.

Cell lengths 6.0615, 6.0615, 7.8546 Å; angles 96.65, 96.65, 120.83 degrees
Fractional coordinates of all 11 atoms:
Ta (0.1469, 0.8531, 0.0000)
Ta (0.8531, 0.1469, 0.0000)
In (0.3199, 0.6801, 0.5000)
In (0.6801, 0.3199, 0.5000)
Ni (0.5000, 0.5000, 0.0000)
S (0.1156, 0.4528, 0.8212)
S (0.2396, 0.2396, 0.2034)
S (0.4528, 0.1156, 0.8212)
S (0.5472, 0.8844, 0.1788)
S (0.7604, 0.7604, 0.7966)
S (0.8844, 0.5472, 0.1788)

## Properties
For the formation energy from raw total energies, the calculation gives -595.7 meV per atom. The calculation puts the total energy at -6.026 eV/atom. The value obtained for the magnetic moment is 0.117 μB/atom. The calculated volume comes out at 240.9 Å³ per cell. As for the space group: C2/m.


No. 2
The following is a DFT calculation (PBE) of crystalline Ca2HgCl at its relaxed geometry.

Cell lengths 3.7958, 5.5575, 5.5570 Å; angles 90.00, 90.11, 90.00 degrees
Fractional coordinates of all 4 atoms:
Ca (0.0000, 0.0000, 0.0000)
Ca (0.0022, 0.5000, 0.5001)
Hg (0.5010, 0.0000, 0.4999)
Cl (0.0001, 0.5000, 0.0001)

## Properties
For the formation energy from raw total energies, the calculation gives -1018.5 meV per atom. The calculation puts the total energy at -2.556 eV/atom. The value obtained for the magnetic moment is 0.004 μB/atom. The calculated volume comes out at 117.2 Å³ per cell. As for the space group: Pm.


Question: Among the records above, which one has the highest calculated volume?
Answer: Ta2In2NiS6